Material: Eu2H6Ir
Method: DFT, meta-GGA SCAN
State: PBEsol geometry

Structure (POSCAR):
```
Eu2H6Ir
1.0
-1.4787 -4.9784 0.0824
2.8436 -3.5945 -2.4435
2.7168 -3.4710 2.7475
H Eu Ir
6 2 1
direct
0.2343 0.2343 0.7657
0.7657 0.2343 0.7657
0.7657 0.2343 0.2343
0.7657 0.7657 0.2343
0.2343 0.7657 0.7657
0.2343 0.7657 0.2343
0.2500 0.2500 0.2500
0.7500 0.7500 0.7500
0.0000 0.0000 0.0000
```

Output
calculated total energy = -22.814 eV per atom
symmetry = Fm-3m